# Ba2CdFeSi GGA-PBE optimized geometry
data_Ba2CdFeSi
_chemical_formula_sum 'Ba2 Cd1 Fe1 Si1'
_space_group_name_H-M_alt 'P 1'
_space_group_IT_number 1
_cell_length_a 6.366
_cell_length_b 6.366
_cell_length_c 4.428
_cell_angle_alpha 90.00
_cell_angle_beta 90.00
_cell_angle_gamma 90.00
loop_
_space_group_symop_operation_xyz
'x,y,z'
loop_
_atom_site_label
_atom_site_type_symbol
_atom_site_fract_x
_atom_site_fract_y
_atom_site_fract_z
Ba1 Ba 0.000 0.500 0.000
Ba2 Ba 0.500 0.000 0.000
Cd1 Cd 0.000 0.000 0.500
Fe1 Fe 0.500 0.500 0.500
Si1 Si 0.500 0.500 0.000
# Raw total energy in Ry/atom: -0.266
# Size of the total moment in Bohr magnetons per cell: 1.78
# Volume in Å³/cell: 179.4

---

# BaCdFe2Sn GGA-PBE optimized geometry
data_BaCdFe2Sn
_chemical_formula_sum 'Ba1 Cd1 Fe2 Sn1'
_space_group_name_H-M_alt 'P 1'
_space_group_IT_number 1
_cell_length_a 5.037
_cell_length_b 5.037
_cell_length_c 5.947
_cell_angle_alpha 90.00
_cell_angle_beta 90.00
_cell_angle_gamma 90.00
loop_
_space_group_symop_operation_xyz
'x,y,z'
loop_
_atom_site_label
_atom_site_type_symbol
_atom_site_fract_x
_atom_site_fract_y
_atom_site_fract_z
Ba1 Ba 0.000 0.000 0.000
Cd1 Cd 0.000 0.000 0.500
Fe1 Fe 0.000 0.500 0.500
Fe2 Fe 0.500 0.000 0.500
Sn1 Sn 0.500 0.500 0.000
# Raw total energy in Ry/atom: -0.273
# Size of the total moment in Bohr magnetons per cell: 5.90
# Volume in Å³/cell: 150.9

---

# Ba2TaCdFe GGA-PBE optimized geometry
data_Ba2TaCdFe
_chemical_formula_sum 'Ba2 Ta1 Cd1 Fe1'
_space_group_name_H-M_alt 'P 1'
_space_group_IT_number 1
_cell_length_a 6.352
_cell_length_b 6.352
_cell_length_c 4.502
_cell_angle_alpha 90.00
_cell_angle_beta 90.00
_cell_angle_gamma 90.00
loop_
_space_group_symop_operation_xyz
'x,y,z'
loop_
_atom_site_label
_atom_site_type_symbol
_atom_site_fract_x
_atom_site_fract_y
_atom_site_fract_z
Ba1 Ba 0.000 0.500 0.000
Ba2 Ba 0.500 0.000 0.000
Ta1 Ta 0.000 0.000 0.000
Cd1 Cd 0.500 0.500 0.500
Fe1 Fe 0.000 0.000 0.500
# Raw total energy in Ry/atom: -0.306
# Size of the total moment in Bohr magnetons per cell: 1.62
# Volume in Å³/cell: 181.7

---

# BaCdFe2W GGA-PBE optimized geometry
data_BaCdFe2W
_chemical_formula_sum 'Ba1 Cd1 Fe2 W1'
_space_group_name_H-M_alt 'P 1'
_space_group_IT_number 1
_cell_length_a 4.614
_cell_length_b 4.614
_cell_length_c 5.459
_cell_angle_alpha 90.00
_cell_angle_beta 90.00
_cell_angle_gamma 90.00
loop_
_space_group_symop_operation_xyz
'x,y,z'
loop_
_atom_site_label
_atom_site_type_symbol
_atom_site_fract_x
_atom_site_fract_y
_atom_site_fract_z
Ba1 Ba 0.000 0.000 0.000
Cd1 Cd 0.500 0.500 0.000
Fe1 Fe 0.000 0.500 0.500
Fe2 Fe 0.500 0.000 0.500
W1 W 0.500 0.500 0.500
# Raw total energy in Ry/atom: -0.405
# Size of the total moment in Bohr magnetons per cell: 0.00
# Volume in Å³/cell: 116.2

---

# BaZrCd2Fe GGA-PBE optimized geometry
data_BaZrCd2Fe
_chemical_formula_sum 'Ba1 Zr1 Cd2 Fe1'
_space_group_name_H-M_alt 'P 1'
_space_group_IT_number 1
_cell_length_a 5.711
_cell_length_b 5.711
_cell_length_c 4.709
_cell_angle_alpha 90.00
_cell_angle_beta 90.00
_cell_angle_gamma 90.00
loop_
_space_group_symop_operation_xyz
'x,y,z'
loop_
_atom_site_label
_atom_site_type_symbol
_atom_site_fract_x
_atom_site_fract_y
_atom_site_fract_z
Ba1 Ba 0.000 0.000 0.000
Zr1 Zr 0.500 0.500 0.500
Cd1 Cd 0.000 0.500 0.000
Cd2 Cd 0.500 0.000 0.000
Fe1 Fe 0.000 0.000 0.500
# Raw total energy in Ry/atom: -0.178
# Size of the total moment in Bohr magnetons per cell: 0.00
# Volume in Å³/cell: 153.6

---

# Ba3Cd2Ga4 GGA-PBE optimized geometry
data_Ba3Cd2Ga4
_chemical_formula_sum 'Ba3 Cd2 Ga4'
_space_group_name_H-M_alt 'P 1'
_space_group_IT_number 1
_cell_length_a 6.833
_cell_length_b 6.833
_cell_length_c 9.585
_cell_angle_alpha 97.23
_cell_angle_beta 97.23
_cell_angle_gamma 39.80
loop_
_space_group_symop_operation_xyz
'x,y,z'
loop_
_atom_site_label
_atom_site_type_symbol
_atom_site_fract_x
_atom_site_fract_y
_atom_site_fract_z
Ba1 Ba 0.000 0.000 0.000
Ba2 Ba 0.330 0.330 0.330
Ba3 Ba 0.670 0.670 0.670
Cd1 Cd 0.391 0.391 0.724
Cd2 Cd 0.609 0.609 0.276
Ga1 Ga 0.057 0.057 0.404
Ga2 Ga 0.282 0.282 0.960
Ga3 Ga 0.718 0.718 0.040
Ga4 Ga 0.943 0.943 0.596
# Raw total energy in Ry/atom: -0.188
# Size of the total moment in Bohr magnetons per cell: 0.00
# Volume in Å³/cell: 283.9

---

# BaCdGa GGA-PBE optimized geometry
data_BaCdGa
_chemical_formula_sum 'Ba2 Cd2 Ga2'
_space_group_name_H-M_alt 'P 1'
_space_group_IT_number 1
_cell_length_a 6.702
_cell_length_b 6.702
_cell_length_c 6.702
_cell_angle_alpha 136.91
_cell_angle_beta 101.05
_cell_angle_gamma 94.47
loop_
_space_group_symop_operation_xyz
'x,y,z'
loop_
_atom_site_label
_atom_site_type_symbol
_atom_site_fract_x
_atom_site_fract_y
_atom_site_fract_z
Ba1 Ba 0.240 0.240 0.000
Ba2 Ba 0.760 0.760 0.000
Cd1 Cd 0.179 0.500 0.679
Cd2 Cd 0.821 0.500 0.321
Ga1 Ga 0.351 0.000 0.351
Ga2 Ga 0.649 0.000 0.649
# Raw total energy in Ry/atom: -0.170
# Size of the total moment in Bohr magnetons per cell: 0.00
# Volume in Å³/cell: 190.9

---

# Ba2CdGa2 GGA-PBE optimized geometry
data_Ba2CdGa2
_chemical_formula_sum 'Ba4 Cd2 Ga4'
_space_group_name_H-M_alt 'P 1'
_space_group_IT_number 1
_cell_length_a 6.451
_cell_length_b 6.451
_cell_length_c 8.910
_cell_angle_alpha 100.63
_cell_angle_beta 100.63
_cell_angle_gamma 62.67
loop_
_space_group_symop_operation_xyz
'x,y,z'
loop_
_atom_site_label
_atom_site_type_symbol
_atom_site_fract_x
_atom_site_fract_y
_atom_site_fract_z
Ba1 Ba 0.009 0.703 0.861
Ba2 Ba 0.297 0.991 0.639
Ba3 Ba 0.703 0.009 0.361
Ba4 Ba 0.991 0.297 0.139
Cd1 Cd 0.387 0.613 0.250
Cd2 Cd 0.613 0.387 0.750
Ga1 Ga 0.204 0.501 0.496
Ga2 Ga 0.499 0.796 0.004
Ga3 Ga 0.501 0.204 0.996
Ga4 Ga 0.796 0.499 0.504
# Raw total energy in Ry/atom: -0.183
# Size of the total moment in Bohr magnetons per cell: 0.00
# Energy relative to the lowest polymorph listed for this composition in kJ/mol of atoms: 0.00
# Volume in Å³/cell: 321.6

---

# Ba2CdGa GGA-PBE optimized geometry
data_Ba2CdGa
_chemical_formula_sum 'Ba2 Cd1 Ga1'
_space_group_name_H-M_alt 'P 1'
_space_group_IT_number 1
_cell_length_a 12.160
_cell_length_b 12.160
_cell_length_c 12.160
_cell_angle_alpha 20.27
_cell_angle_beta 20.27
_cell_angle_gamma 20.27
loop_
_space_group_symop_operation_xyz
'x,y,z'
loop_
_atom_site_label
_atom_site_type_symbol
_atom_site_fract_x
_atom_site_fract_y
_atom_site_fract_z
Ba1 Ba 0.103 0.103 0.103
Ba2 Ba 0.897 0.897 0.897
Cd1 Cd 0.000 0.000 0.000
Ga1 Ga 0.500 0.500 0.500
# Raw total energy in Ry/atom: -0.139
# Size of the total moment in Bohr magnetons per cell: 0.00
# Volume in Å³/cell: 188.8

---

# BaCdGa2 GGA-PBE optimized geometry
data_BaCdGa2
_chemical_formula_sum 'Ba2 Cd2 Ga4'
_space_group_name_H-M_alt 'P 1'
_space_group_IT_number 1
_cell_length_a 10.134
_cell_length_b 10.134
_cell_length_c 10.134
_cell_angle_alpha 150.24
_cell_angle_beta 150.24
_cell_angle_gamma 42.59
loop_
_space_group_symop_operation_xyz
'x,y,z'
loop_
_atom_site_label
_atom_site_type_symbol
_atom_site_fract_x
_atom_site_fract_y
_atom_site_fract_z
Ba1 Ba 0.000 0.000 0.000
Ba2 Ba 0.750 0.250 0.500
Cd1 Cd 0.250 0.750 0.500
Cd2 Cd 0.500 0.500 0.000
Ga1 Ga 0.371 0.625 0.246
Ga2 Ga 0.375 0.621 0.746
Ga3 Ga 0.379 0.125 0.754
Ga4 Ga 0.875 0.629 0.254
# Raw total energy in Ry/atom: -0.179
# Size of the total moment in Bohr magnetons per cell: 0.00
# Volume in Å³/cell: 255.7

---

# Ba2Cd5Ga3 GGA-PBE optimized geometry
data_Ba2Cd5Ga3
_chemical_formula_sum 'Ba2 Cd5 Ga3'
_space_group_name_H-M_alt 'P 1'
_space_group_IT_number 1
_cell_length_a 4.730
_cell_length_b 4.730
_cell_length_c 12.034
_cell_angle_alpha 90.00
_cell_angle_beta 90.00
_cell_angle_gamma 90.00
loop_
_space_group_symop_operation_xyz
'x,y,z'
loop_
_atom_site_label
_atom_site_type_symbol
_atom_site_fract_x
_atom_site_fract_y
_atom_site_fract_z
Ba1 Ba 0.000 0.500 0.232
Ba2 Ba 0.500 0.000 0.768
Cd1 Cd 0.000 0.000 0.500
Cd2 Cd 0.000 0.500 0.649
Cd3 Cd 0.500 0.000 0.351
Cd4 Cd 0.500 0.500 0.000
Cd5 Cd 0.500 0.500 0.500
Ga1 Ga 0.000 0.000 0.000
Ga2 Ga 0.000 0.500 0.880
Ga3 Ga 0.500 0.000 0.120
# Raw total energy in Ry/atom: -0.152
# Size of the total moment in Bohr magnetons per cell: 0.00
# Volume in Å³/cell: 269.2

---

raw total energy of number 11 (Ba2Cd5Ga3)? -0.152 Ry/atom

---

Look up the volume of the eleventh one. 269.2 Å³/cell